# Ce3NdBi4

A relaxed structure of Ce3NdBi4 (PBE, Alexandria via LeMat-Bulk).

Results
Fermi-level density of states: 2.789 states/eV per atom
E above lowest polymorph: 2 meV per atom
E_form: -6.63 eV/f.u.

Geometry as CIF:
```
data_Ce3NdBi4
_chemical_formula_sum 'Ce3 Nd1 Bi4'
_cell_length_a 6.511
_cell_length_b 6.511
_cell_length_c 6.511
_cell_angle_alpha 90.00
_cell_angle_beta 90.00
_cell_angle_gamma 90.00
_symmetry_space_group_name_H-M 'P m -3 m'
_symmetry_Int_Tables_number 221
_symmetry_space_group_name_Hall '-P 4 2 3'
loop_
_atom_site_label
_atom_site_fract_x
_atom_site_fract_y
_atom_site_fract_z
_atom_site_occupancy
Ce1 0.000 0.000 0.500 1
Nd1 0.500 0.500 0.500 1
Bi1 0.000 0.000 0.000 1
Bi2 0.000 0.500 0.500 1
```